# 1
The following is a meta-GGA SCAN calculation of a crystal of Li2Au relaxed with PBEsol, from Alexandria via LeMat-Bulk.

a b c (Å): 2.7684 7.5599 7.5599
angles (deg): 120.00 90.00 90.00
With the nearest neighbours (Å) after each atom.
Element x y z (fractional)
Au 0.5000 0.0000 0.0000  9 Li 2.64-2.80, 2 Au 2.77
Li 0.0000 0.0000 0.2979  4 Au 2.64-2.66, 8 Li 2.77-2.92
Li 0.0000 0.2979 0.0000  4 Au 2.64-2.66, 8 Li 2.77-2.92
Li 0.5000 0.0000 0.6298  5 Au 2.76-2.80, 8 Li 2.77-2.92
Li 0.5000 0.6298 0.0000  5 Au 2.76-2.80, 8 Li 2.77-2.92
Au 0.0000 0.3333 0.6667  9 Li 2.66-2.76, 2 Au 2.77
Li 0.5000 0.3702 0.3702  5 Au 2.76-2.80, 8 Li 2.77-2.92
Au 0.0000 0.6667 0.3333  9 Li 2.66-2.76, 2 Au 2.77
Li 0.0000 0.7021 0.7021  4 Au 2.64-2.66, 8 Li 2.77-2.92

## Properties
Calculated total energy   -0.926 Ha/atom
Energy of formation from the pure elements   -0.55 eV/atom
M_tot   0.000 μB/atom

---

# 2
The following is a meta-GGA SCAN calculation of a crystal of Li2Au relaxed with PBEsol, from Alexandria via LeMat-Bulk.

a b c (Å): 4.5952 4.7315 4.7315
angles (deg): 61.40 90.00 90.00
With the nearest neighbours (Å) after each atom.
Element x y z (fractional)
Li 0.7500 0.8264 0.4893  7 Li 2.57-2.85, 5 Au 2.74-2.78
Li 0.2500 0.4893 0.8264  7 Li 2.57-2.85, 5 Au 2.74-2.78
Li 0.2500 0.1736 0.5107  7 Li 2.57-2.85, 5 Au 2.74-2.78
Li 0.7500 0.5107 0.1736  7 Li 2.57-2.85, 5 Au 2.74-2.78
Au 0.2500 0.8313 0.1687  10 Li 2.74-2.78, 2 Au 2.82
Au 0.7500 0.1687 0.8313  10 Li 2.74-2.78, 2 Au 2.82

## Properties
Calculated total energy   -0.926 Ha/atom
Energy of formation from the pure elements   -0.56 eV/atom
M_tot   0.000 μB/atom

---

# 3
The following is a meta-GGA SCAN calculation of a crystal of Li3Au2 relaxed with PBEsol, from Alexandria via LeMat-Bulk.

a b c (Å): 4.8886 5.2462 7.2852
angles (deg): 87.14 109.43 61.74
With the nearest neighbours (Å) after each atom.
Element x y z (fractional)
Li 0.5395 0.9924 0.7913  4 Li 2.57-2.85, 6 Au 2.70-2.81
Li 0.7407 0.0084 0.2096  4 Li 2.58-2.83, 6 Au 2.70-2.80
Au 0.5056 0.4884 0.8970  9 Li 2.69-2.81, 3 Au 2.83
Li 0.9105 0.5077 0.7087  4 Li 2.57-2.85, 6 Au 2.70-2.81
Au 0.0962 0.5101 0.1016  9 Li 2.70-2.80, 3 Au 2.83-2.84
Li 0.3272 0.5021 0.4990  6 Au 2.69-2.78, 6 Li 2.76-2.92
Li 0.7094 0.4914 0.2904  4 Li 2.58-2.83, 6 Au 2.70-2.80
Li 0.1227 0.9979 0.0010  6 Au 2.69-2.78, 6 Li 2.76-2.92
Au 0.3538 0.9899 0.3984  9 Li 2.70-2.80, 3 Au 2.83-2.84
Au 0.9444 0.0117 0.6030  9 Li 2.69-2.81, 3 Au 2.83

## Properties
Calculated total energy   -1.091 Ha/atom
Polymorph energy (0 for the lowest one)   0.0 meV per atom
Energy of formation from the pure elements   -0.59 eV/atom
M_tot   0.000 μB/atom

---

# 4
The following is a meta-GGA SCAN calculation of a crystal of Li5Au relaxed with PBEsol, from Alexandria via LeMat-Bulk.

a b c (Å): 4.6033 4.9231 4.9231
angles (deg): 120.00 90.00 90.00
With the nearest neighbours (Å) after each atom.
Element x y z (fractional)
Li 0.0000 0.0000 0.6913  6 Li 2.63-2.86, 2 Au 2.76
Au 0.5000 0.0000 0.0000  12 Li 2.76-2.84
Li 0.5000 0.6667 0.3333  9 Li 2.84-2.86, 3 Au 2.84
Li 0.5000 0.3333 0.6667  9 Li 2.84-2.86, 3 Au 2.84
Li 0.0000 0.6913 0.0000  6 Li 2.63-2.86, 2 Au 2.76
Li 0.0000 0.3087 0.3087  6 Li 2.63-2.86, 2 Au 2.76

## Properties
Calculated total energy   -0.509 Ha/atom
Polymorph energy (0 for the lowest one)   0.0 meV per atom
Energy of formation from the pure elements   -0.33 eV/atom
M_tot   0.004 μB/atom

---

# 5
The following is a meta-GGA SCAN calculation of a crystal of Li3Au2 relaxed with PBEsol, from Alexandria via LeMat-Bulk.

a b c (Å): 4.3787 4.3787 5.2531
angles (deg): 90.00 90.00 120.00
With the nearest neighbours (Å) after each atom.
Element x y z (fractional)
Au 0.6667 0.3333 0.1357  8 Li 2.62-2.80, 3 Au 2.90
Li 0.6667 0.3333 0.6367  5 Au 2.62-2.80, 3 Li 2.91
Au 0.3333 0.6667 0.8643  8 Li 2.62-2.80, 3 Au 2.90
Li 0.3333 0.6667 0.3633  5 Au 2.62-2.80, 3 Li 2.91
Li 0.0000 0.0000 0.0000  6 Au 2.63

## Properties
Calculated total energy   -1.089 Ha/atom
Polymorph energy (0 for the lowest one)   55.4 meV per atom
Energy of formation from the pure elements   -0.54 eV/atom
M_tot   0.000 μB/atom

---

# 6
The following is a meta-GGA SCAN calculation of a crystal of Li5Au relaxed with PBEsol, from Alexandria via LeMat-Bulk.

a b c (Å): 3.2384 3.2384 9.9275
angles (deg): 90.00 90.00 90.00
With the nearest neighbours (Å) after each atom.
Element x y z (fractional)
Li 0.0000 0.0000 0.8674  5 Li 2.63-2.85, 4 Au 2.64
Li 0.5000 0.5000 0.6973  8 Li 2.85-3.01, 1 Au 3.01
Li 0.0000 0.0000 0.1326  5 Li 2.63-2.85, 4 Au 2.64
Li 0.0000 0.0000 0.5000  12 Li 3.01-3.24
Li 0.5000 0.5000 0.3027  8 Li 2.85-3.01, 1 Au 3.01
Au 0.5000 0.5000 0.0000  8 Li 2.64

## Properties
Calculated total energy   -0.507 Ha/atom
Polymorph energy (0 for the lowest one)   66.3 meV per atom
Energy of formation from the pure elements   -0.27 eV/atom
M_tot   0.015 μB/atom

---

# 7
The following is a meta-GGA SCAN calculation of a crystal of Li2Au relaxed with PBEsol, from Alexandria via LeMat-Bulk.

a b c (Å): 2.7208 4.6783 7.5308
angles (deg): 90.02 90.00 106.90
With the nearest neighbours (Å) after each atom.
Element x y z (fractional)
Au 0.7357 0.4714 0.3988  9 Li 2.64-2.80, 2 Au 2.72
Li 0.7186 0.4372 0.0486  7 Li 2.64-2.87, 4 Au 2.64-2.73
Li 0.2607 0.5214 0.7191  7 Li 2.63-2.87, 5 Au 2.78-2.80
Li 0.4615 0.9231 0.2191  7 Li 2.64-2.87, 5 Au 2.78-2.80
Li 0.0036 0.0072 0.5488  7 Li 2.63-2.87, 4 Au 2.64-2.73
Au 0.9865 0.9729 0.8989  9 Li 2.64-2.80, 2 Au 2.72

## Properties
Calculated total energy   -0.925 Ha/atom
Energy of formation from the pure elements   -0.53 eV/atom
M_tot   0.000 μB/atom

---

# 8
The following is a meta-GGA SCAN calculation of a crystal of Li2Au relaxed with PBEsol, from Alexandria via LeMat-Bulk.

a b c (Å): 5.1603 5.1603 5.1603
angles (deg): 105.87 105.87 116.94
With the nearest neighbours (Å) after each atom.
Element x y z (fractional)
Li 0.3286 0.8286 0.1571  4 Au 2.67
Li 0.1714 0.3286 0.5000  4 Au 2.67
Li 0.6714 0.1714 0.8429  4 Au 2.67
Li 0.8286 0.6714 0.5000  4 Au 2.67
Au 0.2500 0.2500 0.0000  8 Li 2.67, 2 Au 2.70
Au 0.7500 0.7500 0.0000  8 Li 2.67, 2 Au 2.70

## Properties
Calculated total energy   -0.926 Ha/atom
Energy of formation from the pure elements   -0.54 eV/atom
M_tot   0.000 μB/atom

---

What is the formula in the third record? Li3Au2

---

energy of formation from the pure elements of number 8 (Li2Au)? -0.54 eV/atom